Below is a geometry-optimized CeZrCrO6 structure, with properties calculated at the PBE+U level.

The structure in POSCAR format:
```
CeZrCrO6
1.0
4.8594 0.0000 0.0000
0.0000 4.8594 0.0000
0.0000 0.0000 9.8919
Ce Zr Cr O
2 2 2 12
Direct
0.0000 0.0000 0.0000 Ce
0.5000 0.5000 0.5000 Ce
0.0000 0.0000 0.3381 Zr
0.5000 0.5000 0.8381 Zr
0.0000 0.0000 0.6711 Cr
0.5000 0.5000 0.1711 Cr
0.1804 0.1804 0.5134 O
0.1955 0.1955 0.8175 O
0.2179 0.2179 0.1806 O
0.2821 0.7179 0.6806 O
0.3045 0.6955 0.3175 O
0.3196 0.6804 0.0134 O
0.6804 0.3196 0.0134 O
0.6955 0.3045 0.3175 O
0.7179 0.2821 0.6806 O
0.7821 0.7821 0.1806 O
0.8045 0.8045 0.8175 O
0.8196 0.8196 0.5134 O
```

## Properties
M_tot (μB per atom): 0.22
Calculated total energy (eV/atom): -8.398